Below is crystalline Pm2NdEr3S6 at its relaxed geometry, with properties calculated at the PBE level.

abc: 8.883 8.883 8.007
angles: 104.39 104.39 25.45
Fractional coordinates of all 12 atoms:
Pm 0.167 0.167 0.333
Pm 0.833 0.833 0.667
Nd 0.500 0.500 0.000
Er 0.166 0.166 0.833
Er 0.500 0.500 0.500
Er 0.834 0.834 0.167
S 0.004 0.004 0.738
S 0.329 0.329 0.926
S 0.337 0.337 0.407
S 0.663 0.663 0.593
S 0.671 0.671 0.074
S 0.996 0.996 0.262

Output
space group	C2/m, No. 12

---

Below is crystalline PmNd2ErS4 at its relaxed geometry, with properties calculated at the PBE level.

abc: 6.951 3.960 7.007
angles: 90.00 108.83 90.00
Fractional coordinates of all 8 atoms:
Pm 0.000 0.000 0.000
Nd 0.000 0.500 0.500
Nd 0.500 0.000 0.500
Er 0.500 0.500 0.000
S 0.255 0.500 0.241
S 0.263 0.000 0.765
S 0.737 0.000 0.235
S 0.745 0.500 0.759

Output
space group	P2/m, No. 10

---

Below is crystalline Pm2Nd3ErS6 at its relaxed geometry, with properties calculated at the PBE level.

abc: 6.969 6.969 6.979
angles: 99.56 99.56 120.15
Fractional coordinates of all 12 atoms:
Pm 0.167 0.833 0.000
Pm 0.833 0.167 0.000
Nd 0.000 0.000 0.500
Nd 0.329 0.671 0.500
Nd 0.671 0.329 0.500
Er 0.500 0.500 0.000
S 0.096 0.420 0.760
S 0.258 0.258 0.244
S 0.420 0.096 0.760
S 0.580 0.904 0.240
S 0.742 0.742 0.756
S 0.904 0.580 0.240

Output
space group	C2/m, No. 12

---

Below is crystalline Pm4NdErS8 at its relaxed geometry, with properties calculated at the PBE level.

abc: 8.218 8.218 8.218
angles: 60.37 60.37 60.37
Fractional coordinates of all 14 atoms:
Pm 0.000 0.000 0.000
Pm 0.376 0.376 0.877
Pm 0.376 0.877 0.376
Pm 0.877 0.376 0.376
Nd 0.753 0.753 0.753
Er 0.376 0.376 0.376
S 0.133 0.133 0.133
S 0.141 0.141 0.600
S 0.141 0.600 0.141
S 0.156 0.611 0.611
S 0.600 0.141 0.141
S 0.611 0.156 0.611
S 0.611 0.611 0.156
S 0.619 0.619 0.619

Output
space group	R3m, No. 160

---

Below is crystalline PmNd2Er3S6 at its relaxed geometry, with properties calculated at the PBE level.

abc: 8.904 8.904 8.028
angles: 104.53 104.53 25.41
Fractional coordinates of all 12 atoms:
Pm 0.000 0.000 0.000
Nd 0.333 0.333 0.666
Nd 0.667 0.667 0.334
Er 0.000 0.000 0.500
Er 0.333 0.333 0.167
Er 0.667 0.667 0.833
S 0.162 0.162 0.595
S 0.170 0.170 0.072
S 0.496 0.496 0.259
S 0.504 0.504 0.741
S 0.830 0.830 0.928
S 0.838 0.838 0.405

Output
space group	C2/m, No. 12

---

Below is crystalline Pm2NdErS6 at its relaxed geometry, with properties calculated at the PBE level.

abc: 7.468 7.468 7.468
angles: 56.60 56.60 56.60
Fractional coordinates of all 10 atoms:
Pm 0.000 0.000 0.000
Pm 0.497 0.497 0.497
Nd 0.206 0.206 0.206
Er 0.701 0.701 0.701
S 0.087 0.413 0.807
S 0.312 0.895 0.604
S 0.413 0.807 0.087
S 0.604 0.312 0.895
S 0.807 0.087 0.413
S 0.895 0.604 0.312

Output
space group	R3, No. 146

---

no.,E (eV per atom),total magnetization (μB/f.u.)
1,-6.3939,0.00
2,-6.4269,0.00
3,-6.4476,0.00
4,-6.3001,0.00
5,-6.3947,0.00
6,-6.3873,0.00